Record 1
# ZrBe2Tl

A relaxed structure of ZrBe2Tl (GGA-PBE, Alexandria via LeMat-Bulk).

Geometry as POSCAR:
```
ZrBe2Tl
1.0
3.7765 0.0000 0.0000
0.0000 3.7148 0.0000
-1.8717 0.0000 4.5325
Zr Be Tl
1 2 1
direct
0.0000 0.0000 0.0000
0.3017 0.0000 0.5993
0.4254 0.5000 0.8499
0.7117 0.5000 0.4231
```

Energy relative to the elements   0.141 eV/atom
Energy above the most stable polymorph in this dataset   116 meV per atom
Calculated volume   15.90 A^3/atom

Record 2
# Zr2BeTl

A relaxed structure of Zr2BeTl (GGA-PBE, Alexandria via LeMat-Bulk).

Geometry as POSCAR:
```
Zr2BeTl
1.0
4.3413 0.0000 0.0000
0.0000 4.3413 0.0000
0.0000 0.0000 8.3697
Zr Be Tl
4 2 2
direct
0.0000 0.5000 0.2500
0.0000 0.5000 0.7500
0.5000 0.0000 0.2500
0.5000 0.0000 0.7500
0.0000 0.0000 0.0000
0.5000 0.5000 0.5000
0.0000 0.0000 0.5000
0.5000 0.5000 0.0000
```

Energy relative to the elements   0.048 eV/atom
Energy above the most stable polymorph in this dataset   98 meV per atom
Calculated volume   19.72 A^3/atom

Record 3
# Zr2BeTl

A relaxed structure of Zr2BeTl (GGA-PBE, Alexandria via LeMat-Bulk).

Geometry as POSCAR:
```
Zr2BeTl
1.0
3.2867 0.0000 0.0000
-1.6434 2.8464 0.0000
0.0000 0.0000 27.4109
Zr Be Tl
6 3 3
direct
0.0000 0.0000 0.0000
0.0000 0.0000 0.2444
0.3333 0.6667 0.6667
0.3333 0.6667 0.9111
0.6667 0.3333 0.3333
0.6667 0.3333 0.5777
0.0000 0.0000 0.5012
0.3333 0.6667 0.1679
0.6667 0.3333 0.8346
0.0000 0.0000 0.7634
0.3333 0.6667 0.4301
0.6667 0.3333 0.0968
```

Energy relative to the elements   0.320 eV/atom
Energy above the most stable polymorph in this dataset   370 meV per atom
Calculated volume   21.37 A^3/atom

Record 4
# Zr2BeTl

A relaxed structure of Zr2BeTl (GGA-PBE, Alexandria via LeMat-Bulk).

Geometry as POSCAR:
```
Zr2BeTl
1.0
3.2878 0.0000 0.0000
0.0000 4.1152 0.0000
0.0000 0.0000 6.1835
Zr Be Tl
2 1 1
direct
0.0000 0.0000 0.0000
0.5000 0.5000 0.2592
0.0000 0.0000 0.4397
0.5000 0.5000 0.7270
```

Energy relative to the elements   0.219 eV/atom
Energy above the most stable polymorph in this dataset   270 meV per atom
Calculated volume   20.92 A^3/atom

Number 1: density of states at the Fermi level 2.2 states/eV/cell. Number 2: density of states at the Fermi level 6.1 states/eV/cell. Number 3: density of states at the Fermi level 10.4 states/eV/cell. Number 4: density of states at the Fermi level 2.0 states/eV/cell.